An optimized crystal structure of CaTl2Re. Source: Alexandria, functional PBE.

Computed properties:
calculated volume: 175.6 Å³/cell
calculated formation energy: 0.5583 eV per atom
size of the total moment: 0.37 μB/f.u.
E: -16.95 eV per formula unit

Lattice parameters (Å, degrees): 4.623 4.635 8.193 90.00 90.00 90.00
Space group Immm (No. 71)
Asymmetric unit:
Ca (0.000, 0.000, 0.000) (multiplicity 2)
Tl (0.000, 0.500, 0.250) (multiplicity 4)
Re (0.000, 0.000, 0.500) (multiplicity 2)